The following is a DFT calculation (PBE-GGA) of TbHoGa2Pd2 after structural relaxation.

Lattice parameters (Å, degrees): 4.502 4.502 6.839 90.00 90.00 120.00
Element x y z (fractional)
Tb1 0.000 0.000 0.000
Pd1 0.667 0.333 0.743
Pd2 0.333 0.667 0.257
Ga1 0.333 0.667 0.745
Ga2 0.667 0.333 0.255
Ho1 0.000 0.000 0.500

## Properties
DFT formation energy (eV/atom): -0.86
Symmetry: No. 164

---

The following is a DFT calculation (PBE-GGA) of BaAl2Ag2 after structural relaxation.

Lattice parameters (Å, degrees): 6.421 7.166 7.744 74.70 62.74 52.62
Element x y z (fractional)
Ba1 0.142 0.253 0.725
Ba2 0.858 0.747 0.275
Ag1 0.263 0.758 0.448
Ag2 0.514 0.272 0.000
Ag3 0.486 0.728 0.000
Ag4 0.737 0.242 0.552
Al1 0.646 0.362 0.229
Al2 0.814 0.882 0.797
Al3 0.354 0.638 0.771
Al4 0.186 0.118 0.203

## Properties
DFT formation energy (eV/atom): -0.19
Symmetry: No. 2

---

The following is a DFT calculation (PBE-GGA) of Cs3VI6 after structural relaxation.

Lattice parameters (Å, degrees): 9.856 9.856 9.856 85.34 85.34 85.34
Site moments in Bohr magnetons follow the coordinates.
Element x y z (fractional)
I1 0.898 0.190 0.190  -0.03
I2 0.190 0.898 0.190  -0.03
I3 0.190 0.190 0.898  -0.03
I4 0.513 0.214 0.513  -0.03
I5 0.786 0.487 0.487  -0.03
I6 0.214 0.513 0.513  -0.03
I7 0.102 0.810 0.810  -0.03
I8 0.810 0.102 0.810  -0.03
I9 0.487 0.786 0.487  -0.03
I10 0.810 0.810 0.102  -0.03
I11 0.513 0.513 0.214  -0.03
I12 0.487 0.487 0.786  -0.03
V1 0.000 0.000 0.000  2.07
V2 0.500 0.500 0.500  1.87
Cs1 0.860 0.472 0.860  0.00
Cs2 0.860 0.860 0.472  0.00
Cs3 0.472 0.860 0.860  0.00
Cs4 0.140 0.528 0.140  0.00
Cs5 0.528 0.140 0.140  0.00
Cs6 0.140 0.140 0.528  0.00

## Properties
E above lowest polymorph (kJ per mole of atoms): 0.0
Symmetry: No. 166
E_form (uncorrected) (kJ/mol of atoms): -102.5